No. 1
# NaNpO3 PBE-GGA optimized geometry
data_NaNpO3
_chemical_formula_sum 'Na1 Np1 O3'
_cell_length_a 4.256
_cell_length_b 4.256
_cell_length_c 4.256
_cell_angle_alpha 90.00
_cell_angle_beta 90.00
_cell_angle_gamma 90.00
_symmetry_space_group_name_H-M 'P 1'
_symmetry_Int_Tables_number 1
loop_
_symmetry_equiv_pos_as_xyz
'x,y,z'
loop_
_atom_site_label
_atom_site_fract_x
_atom_site_fract_y
_atom_site_fract_z
_atom_site_occupancy
Na1 0.000 0.000 0.000 1
Np1 0.500 0.500 0.500 1
O1 0.000 0.500 0.500 1
O2 0.500 0.000 0.500 1
O3 0.500 0.500 0.000 1
# - Formation energy without anion corrections: -2.596 eV/atom
# - Crystal system: cubic
# - Total magnetization: 2.00 μB/f.u.
# - SG: Pm-3m, No. 221
# - E_tot: -8.4232 eV/atom

***

No. 2
# Hf2Be2Ga PBE-GGA optimized geometry
data_Hf2Be2Ga
_chemical_formula_sum 'Hf4 Be4 Ga2'
_cell_length_a 3.562
_cell_length_b 5.140
_cell_length_c 8.172
_cell_angle_alpha 90.00
_cell_angle_beta 90.00
_cell_angle_gamma 90.00
_symmetry_space_group_name_H-M 'P 1'
_symmetry_Int_Tables_number 1
loop_
_symmetry_equiv_pos_as_xyz
'x,y,z'
loop_
_atom_site_label
_atom_site_fract_x
_atom_site_fract_y
_atom_site_fract_z
_atom_site_occupancy
Hf1 0.000 0.000 0.211 1
Hf2 0.000 0.000 0.789 1
Hf3 0.500 0.500 0.289 1
Hf4 0.500 0.500 0.711 1
Be1 0.000 0.295 0.500 1
Be2 0.000 0.705 0.500 1
Be3 0.500 0.205 0.000 1
Be4 0.500 0.795 0.000 1
Ga1 0.000 0.500 0.000 1
Ga2 0.500 0.000 0.500 1
# - Crystal system: orthorhombic
# - Total magnetization: 0.00 μB/f.u.
# - Energy above the lowest structure with this stoichiometry: 0.051 eV per atom
# - SG: Immm, No. 71
# - E_tot: -6.3856 eV/atom
# - E_form: -0.3083 eV/atom

***

No. 3
# Tb4NdTm6 PBE-GGA optimized geometry
data_Tb4NdTm6
_chemical_formula_sum 'Tb4 Nd1 Tm6'
_cell_length_a 8.390
_cell_length_b 8.390
_cell_length_c 8.390
_cell_angle_alpha 125.33
_cell_angle_beta 125.33
_cell_angle_gamma 80.99
_symmetry_space_group_name_H-M 'P 1'
_symmetry_Int_Tables_number 1
loop_
_symmetry_equiv_pos_as_xyz
'x,y,z'
loop_
_atom_site_label
_atom_site_fract_x
_atom_site_fract_y
_atom_site_fract_z
_atom_site_occupancy
Tb1 0.257 0.257 0.663 1
Tb2 0.406 0.743 0.000 1
Tb3 0.594 0.594 0.337 1
Tb4 0.743 0.406 0.000 1
Nd1 0.000 0.000 0.000 1
Tm1 0.000 0.500 0.500 1
Tm2 0.070 0.560 0.000 1
Tm3 0.440 0.440 0.510 1
Tm4 0.500 0.000 0.500 1
Tm5 0.560 0.070 0.000 1
Tm6 0.930 0.930 0.490 1
# - Crystal system: tetragonal
# - Total magnetization: 0.00 μB/f.u.
# - Energy above the lowest structure with this stoichiometry: 0.144 eV per atom
# - SG: I-42m, No. 121
# - E_tot: -4.0909 eV/atom
# - E_form: 0.4653 eV/atom

***

No. 4
# Dy2Ho4Er PBE-GGA optimized geometry
data_Dy2Ho4Er
_chemical_formula_sum 'Dy4 Ho8 Er2'
_cell_length_a 6.146
_cell_length_b 3.549
_cell_length_c 19.826
_cell_angle_alpha 90.00
_cell_angle_beta 90.01
_cell_angle_gamma 90.00
_symmetry_space_group_name_H-M 'P 1'
_symmetry_Int_Tables_number 1
loop_
_symmetry_equiv_pos_as_xyz
'x,y,z'
loop_
_atom_site_label
_atom_site_fract_x
_atom_site_fract_y
_atom_site_fract_z
_atom_site_occupancy
Dy1 0.000 0.000 0.000 1
Dy2 0.000 0.000 0.286 1
Dy3 0.500 0.500 0.000 1
Dy4 0.500 0.500 0.286 1
Ho1 0.166 0.500 0.429 1
Ho2 0.167 0.500 0.143 1
Ho3 0.332 0.000 0.573 1
Ho4 0.333 0.000 0.857 1
Ho5 0.666 0.000 0.429 1
Ho6 0.667 0.000 0.143 1
Ho7 0.832 0.500 0.573 1
Ho8 0.833 0.500 0.857 1
Er1 0.499 0.500 0.716 1
Er2 0.999 0.000 0.716 1
# - Crystal system: monoclinic
# - Total magnetization: 0.00 μB/f.u.
# - Energy above the lowest structure with this stoichiometry: 0.000 eV per atom
# - SG: Cm, No. 8
# - E_tot: -4.5791 eV/atom
# - E_form: 0.0035 eV/atom

***

No. 5
# Hf3BiTe PBE-GGA optimized geometry
data_Hf3BiTe
_chemical_formula_sum 'Hf3 Bi1 Te1'
_cell_length_a 5.382
_cell_length_b 5.382
_cell_length_c 5.382
_cell_angle_alpha 90.00
_cell_angle_beta 90.00
_cell_angle_gamma 90.00
_symmetry_space_group_name_H-M 'P 1'
_symmetry_Int_Tables_number 1
loop_
_symmetry_equiv_pos_as_xyz
'x,y,z'
loop_
_atom_site_label
_atom_site_fract_x
_atom_site_fract_y
_atom_site_fract_z
_atom_site_occupancy
Hf1 0.000 0.000 0.500 1
Hf2 0.000 0.500 0.000 1
Hf3 0.500 0.000 0.000 1
Bi1 0.000 0.000 0.000 1
Te1 0.500 0.500 0.500 1
# - Formation energy without anion corrections: 1.289 eV/atom
# - Crystal system: cubic
# - Total magnetization: 0.00 μB/f.u.
# - Energy above the lowest structure with this stoichiometry: 1.501 eV per atom
# - SG: Pm-3m, No. 221
# - E_tot: -6.0878 eV/atom

***

No. 6
# Pr5Sb2Se2 PBE-GGA optimized geometry
data_Pr5Sb2Se2
_chemical_formula_sum 'Pr10 Sb4 Se4'
_cell_length_a 8.770
_cell_length_b 8.770
_cell_length_c 8.290
_cell_angle_alpha 90.00
_cell_angle_beta 90.00
_cell_angle_gamma 55.70
_symmetry_space_group_name_H-M 'P 1'
_symmetry_Int_Tables_number 1
loop_
_symmetry_equiv_pos_as_xyz
'x,y,z'
loop_
_atom_site_label
_atom_site_fract_x
_atom_site_fract_y
_atom_site_fract_z
_atom_site_occupancy
Pr1 0.000 0.000 0.000 1
Pr2 0.021 0.695 0.654 1
Pr3 0.195 0.521 0.154 1
Pr4 0.305 0.979 0.654 1
Pr5 0.479 0.805 0.154 1
Pr6 0.500 0.500 0.500 1
Pr7 0.521 0.195 0.846 1
Pr8 0.695 0.021 0.346 1
Pr9 0.805 0.479 0.846 1
Pr10 0.979 0.305 0.346 1
Sb1 0.141 0.859 0.359 1
Sb2 0.359 0.641 0.859 1
Sb3 0.641 0.359 0.141 1
Sb4 0.859 0.141 0.641 1
Se1 0.195 0.195 0.000 1
Se2 0.305 0.305 0.500 1
Se3 0.695 0.695 0.500 1
Se4 0.805 0.805 0.000 1
# - Formation energy without anion corrections: -1.277 eV/atom
# - Crystal system: orthorhombic
# - Total magnetization: 0.00 μB/f.u.
# - SG: Cmce, No. 64
# - E_tot: -5.6230 eV/atom

***

No. 7
# CrInP2S PBE-GGA optimized geometry
data_CrInP2S
_chemical_formula_sum 'Cr1 In1 P2 S1'
_cell_length_a 4.329
_cell_length_b 4.329
_cell_length_c 5.278
_cell_angle_alpha 90.00
_cell_angle_beta 90.00
_cell_angle_gamma 90.00
_symmetry_space_group_name_H-M 'P 1'
_symmetry_Int_Tables_number 1
loop_
_symmetry_equiv_pos_as_xyz
'x,y,z'
loop_
_atom_site_label
_atom_site_fract_x
_atom_site_fract_y
_atom_site_fract_z
_atom_site_occupancy
Cr1 0.000 0.000 0.000 1
In1 0.500 0.500 0.500 1
P1 0.000 0.500 0.000 1
P2 0.500 0.000 0.000 1
S1 0.000 0.000 0.500 1
# - Formation energy without anion corrections: 0.211 eV/atom
# - Crystal system: tetragonal
# - Total magnetization: 0.54 μB/f.u.
# - Energy above the lowest structure with this stoichiometry: 0.000 eV per atom
# - SG: P4/mmm, No. 123
# - E_tot: -5.2512 eV/atom

***

No. 8
# LaYBe2 PBE-GGA optimized geometry
data_LaYBe2
_chemical_formula_sum 'La4 Y4 Be8'
_cell_length_a 7.025
_cell_length_b 7.025
_cell_length_c 7.025
_cell_angle_alpha 90.00
_cell_angle_beta 90.00
_cell_angle_gamma 90.00
_symmetry_space_group_name_H-M 'P 1'
_symmetry_Int_Tables_number 1
loop_
_symmetry_equiv_pos_as_xyz
'x,y,z'
loop_
_atom_site_label
_atom_site_fract_x
_atom_site_fract_y
_atom_site_fract_z
_atom_site_occupancy
La1 0.000 0.000 0.000 1
La2 0.000 0.500 0.500 1
La3 0.500 0.000 0.500 1
La4 0.500 0.500 0.000 1
Y1 0.000 0.000 0.500 1
Y2 0.000 0.500 0.000 1
Y3 0.500 0.000 0.000 1
Y4 0.500 0.500 0.500 1
Be1 0.250 0.250 0.250 1
Be2 0.250 0.250 0.750 1
Be3 0.250 0.750 0.250 1
Be4 0.250 0.750 0.750 1
Be5 0.750 0.250 0.250 1
Be6 0.750 0.250 0.750 1
Be7 0.750 0.750 0.250 1
Be8 0.750 0.750 0.750 1
# - Crystal system: cubic
# - Total magnetization: 0.00 μB/f.u.
# - Energy above the lowest structure with this stoichiometry: 0.084 eV per atom
# - SG: Fm-3m, No. 225
# - E_tot: -4.5306 eV/atom
# - E_form: 0.1804 eV/atom

***

No. 9
# KAuS2N PBE-GGA optimized geometry
data_KAuS2N
_chemical_formula_sum 'K1 Au1 S2 N1'
_cell_length_a 5.317
_cell_length_b 5.317
_cell_length_c 3.813
_cell_angle_alpha 90.00
_cell_angle_beta 90.00
_cell_angle_gamma 90.00
_symmetry_space_group_name_H-M 'P 1'
_symmetry_Int_Tables_number 1
loop_
_symmetry_equiv_pos_as_xyz
'x,y,z'
loop_
_atom_site_label
_atom_site_fract_x
_atom_site_fract_y
_atom_site_fract_z
_atom_site_occupancy
K1 0.000 0.000 0.000 1
Au1 0.500 0.500 0.500 1
S1 0.000 0.500 0.500 1
S2 0.500 0.000 0.500 1
N1 0.500 0.500 0.000 1
# - Formation energy without anion corrections: 0.667 eV/atom
# - Crystal system: tetragonal
# - Total magnetization: 0.00 μB/f.u.
# - Energy above the lowest structure with this stoichiometry: 0.000 eV per atom
# - SG: P4/mmm, No. 123
# - E_tot: -3.5238 eV/atom

***

No. 10
# Na4CdF6 PBE-GGA optimized geometry
data_Na4CdF6
_chemical_formula_sum 'Na8 Cd2 F12'
_cell_length_a 6.904
_cell_length_b 6.904
_cell_length_c 6.904
_cell_angle_alpha 90.96
_cell_angle_beta 90.96
_cell_angle_gamma 90.96
_symmetry_space_group_name_H-M 'P 1'
_symmetry_Int_Tables_number 1
loop_
_symmetry_equiv_pos_as_xyz
'x,y,z'
loop_
_atom_site_label
_atom_site_fract_x
_atom_site_fract_y
_atom_site_fract_z
_atom_site_occupancy
Na1 0.086 0.750 0.414 1
Na2 0.250 0.250 0.250 1
Na3 0.250 0.586 0.914 1
Na4 0.414 0.086 0.750 1
Na5 0.586 0.914 0.250 1
Na6 0.750 0.414 0.086 1
Na7 0.750 0.750 0.750 1
Na8 0.914 0.250 0.586 1
Cd1 0.000 0.000 0.000 1
Cd2 0.500 0.500 0.500 1
F1 0.040 0.932 0.687 1
F2 0.068 0.313 0.960 1
F3 0.187 0.432 0.540 1
F4 0.313 0.960 0.068 1
F5 0.432 0.540 0.187 1
F6 0.460 0.813 0.568 1
F7 0.540 0.187 0.432 1
F8 0.568 0.460 0.813 1
F9 0.687 0.040 0.932 1
F10 0.813 0.568 0.460 1
F11 0.932 0.687 0.040 1
F12 0.960 0.068 0.313 1
# - Formation energy without anion corrections: -2.502 eV/atom
# - Crystal system: trigonal
# - Total magnetization: 0.00 μB/f.u.
# - SG: R-3c, No. 167
# - E_tot: -4.0859 eV/atom